# 1
First-principles (PBE) data for a relaxed MgGe2Te crystal, as listed in Alexandria via LeMat-Bulk.

a = 5.0418 Å, b = 5.0418 Å, c = 5.0418 Å
α = 60.00°, β = 60.00°, γ = 60.00°
Last column: nearest neighbours and their distance in Å.
Fractional positions:
Mg (0.0000, 0.0000, 0.0000)  8 Ge 3.09
Ge (0.2500, 0.2500, 0.2500)  4 Mg 3.09, 4 Te 3.09
Ge (0.7500, 0.7500, 0.7500)  4 Te 3.09, 4 Mg 3.09
Te (0.5000, 0.5000, 0.5000)  8 Ge 3.09

Properties
* relative energy among the computed polymorphs: 0.050 eV per atom
* SG: No. 225
* spin magnetization: 0.0 μB/cell
* total energy: -3.257 eV/atom

# 2
First-principles (PBE) data for a relaxed Mg3GeTe4 crystal, as listed in Alexandria via LeMat-Bulk.

a = 8.0519 Å, b = 8.0519 Å, c = 8.0519 Å
α = 131.74°, β = 131.74°, γ = 70.64°
Last column: nearest neighbours and their distance in Å.
Fractional positions:
Mg (0.0000, 0.0000, 0.0000)  4 Te 2.82
Mg (0.2500, 0.7500, 0.5000)  4 Te 2.83
Mg (0.7500, 0.2500, 0.5000)  4 Te 2.83
Ge (0.5000, 0.5000, 0.0000)  4 Te 2.93
Te (0.1143, 0.1143, 0.4848)  3 Mg 2.82-2.83, 1 Ge 2.93
Te (0.3706, 0.8857, 0.0000)  3 Mg 2.82-2.83, 1 Ge 2.93
Te (0.6294, 0.6294, 0.5152)  3 Mg 2.82-2.83, 1 Ge 2.93
Te (0.8857, 0.3706, 0.0000)  3 Mg 2.82-2.83, 1 Ge 2.93

Properties
* SG: No. 121
* spin magnetization: 0.0 μB/cell
* total energy: -3.350 eV/atom

# 3
First-principles (PBE) data for a relaxed MgGeTe3 crystal, as listed in Alexandria via LeMat-Bulk.

a = 5.4191 Å, b = 5.4191 Å, c = 5.4191 Å
α = 90.00°, β = 90.00°, γ = 90.00°
Last column: nearest neighbours and their distance in Å.
Fractional positions:
Mg (0.0000, 0.0000, 0.0000)  6 Te 2.71
Ge (0.5000, 0.5000, 0.5000)  12 Te 3.83
Te (0.0000, 0.0000, 0.5000)  2 Mg 2.71
Te (0.0000, 0.5000, 0.0000)  2 Mg 2.71
Te (0.5000, 0.0000, 0.0000)  2 Mg 2.71

Properties
* relative energy among the computed polymorphs: 0.636 eV per atom
* SG: No. 221
* spin magnetization: 0.0 μB/cell
* total energy: -2.781 eV/atom

no.,formation energy from raw total energies (kJ per mole of atoms)
1,23
2,-58
3,33